1.
## NdDy2Ho (PBE)

Data for a relaxed NdDy2Ho crystal.

abc: 3.5975 3.5975 11.7180
angles: 81.17 81.17 60.00
Last column: nearest neighbours and their distance in Å.
Positions (direct):
Nd1 0.6665 0.6665 0.0006  6 Dy 3.60, 6 Nd 3.60
Dy1 0.0849 0.0849 0.7454  3 Ho 3.52, 6 Dy 3.60, 3 Nd 3.60
Dy2 0.2483 0.2483 0.2551  3 Ho 3.50, 3 Nd 3.60, 6 Dy 3.60
Ho1 0.5004 0.5004 0.4989  6 Dy 3.50-3.52, 6 Ho 3.60

## Properties
- Energy of formation from the pure elements: 0.007 eV per atom
- Polymorph energy (0 for the lowest one): 0.0 meV/atom
- Space-group type: R3m
- E_tot: -4.6303 eV/atom
- DOS at the Fermi energy: 6.2 states/eV/cell

2.
## Ti2InAsSe (PBE)

Data for a relaxed Ti2InAsSe crystal.

abc: 5.2864 4.8654 5.2864
angles: 90.00 90.00 90.00
Last column: nearest neighbours and their distance in Å.
Positions (direct):
Se1 0.5000 0.5000 0.5000  8 Ti 3.59, 4 As 3.74
In1 0.0000 0.0000 0.0000  2 As 2.43, 4 Ti 2.64
Ti1 0.0000 0.0000 0.5000  2 In 2.64
Ti2 0.5000 0.0000 0.0000  2 In 2.64
As1 0.0000 0.5000 0.0000  2 In 2.43

## Properties
- Formation energy without anion corrections: 480 kJ/mol of formula units
- Space-group type: P4/mmm
- E_tot: -4.3366 eV/atom
- DOS at the Fermi energy: 6.3 states/eV/cell

3.
## CsPb2Au2 (PBE)

Data for a relaxed CsPb2Au2 crystal.

abc: 4.8430 5.5145 7.0593
angles: 104.32 110.06 90.00
Last column: nearest neighbours and their distance in Å.
Positions (direct):
Au1 0.2530 0.8560 0.5061  2 Au 2.91, 4 Pb 2.91-3.00
Au2 0.7470 0.1440 0.4939  2 Au 2.91, 4 Pb 2.91-3.00
Cs1 0.0000 0.0000 0.0000  6 Au 3.65-3.98
Pb1 0.6639 0.5831 0.3278  4 Au 2.91-3.00
Pb2 0.3361 0.4169 0.6722  4 Au 2.91-3.00

## Properties
- Energy of formation from the pure elements: -0.225 eV per atom
- Polymorph energy (0 for the lowest one): 0.0 meV/atom
- Space-group type: C2/m
- E_tot: -3.1896 eV/atom
- DOS at the Fermi energy: 1.9 states/eV/cell

4.
## SmCd12Ag6 (PBE)

Data for a relaxed SmCd12Ag6 crystal.

abc: 7.9175 7.9175 7.9175
angles: 105.36 105.36 105.36
Last column: nearest neighbours and their distance in Å.
Positions (direct):
Cd1 0.8869 0.1131 0.5000  4 Ag 2.81-2.95, 3 Cd 2.85-2.98
Cd2 0.5000 0.8869 0.1131  4 Ag 2.81-2.95, 3 Cd 2.85-2.98
Cd3 0.3746 0.3746 0.1266  4 Ag 2.84-3.09, 4 Cd 2.98-3.12
Cd4 0.5000 0.1131 0.8869  4 Ag 2.81-2.95, 3 Cd 2.85-2.98
Cd5 0.6254 0.8734 0.6254  4 Ag 2.84-3.09, 4 Cd 2.98-3.12
Cd6 0.8734 0.6254 0.6254  4 Ag 2.84-3.09, 4 Cd 2.98-3.12
Cd7 0.6254 0.6254 0.8734  4 Ag 2.84-3.09, 4 Cd 2.98-3.12
Cd8 0.1131 0.8869 0.5000  4 Ag 2.81-2.95, 3 Cd 2.85-2.98
Cd9 0.8869 0.5000 0.1131  4 Ag 2.81-2.95, 3 Cd 2.85-2.98
Cd10 0.1131 0.5000 0.8869  4 Ag 2.81-2.95, 3 Cd 2.85-2.98
Cd11 0.3746 0.1266 0.3746  4 Ag 2.84-3.09, 4 Cd 2.98-3.12
Cd12 0.1266 0.3746 0.3746  4 Ag 2.84-3.09, 4 Cd 2.98-3.12
Ag1 0.2964 0.7042 0.2964  8 Cd 2.81-3.09
Ag2 0.2964 0.2964 0.7042  8 Cd 2.81-3.09
Ag3 0.2958 0.7036 0.7036  8 Cd 2.81-3.09
Ag4 0.7036 0.2958 0.7036  8 Cd 2.81-3.09
Ag5 0.7036 0.7036 0.2958  8 Cd 2.81-3.09
Ag6 0.7042 0.2964 0.2964  8 Cd 2.81-3.09
Sm1 0.0000 0.0000 0.0000  6 Cd 3.28

## Properties
- Energy of formation from the pure elements: -0.010 eV per atom
- Space-group type: R-3m
- E_tot: -1.7363 eV/atom
- DOS at the Fermi energy: 4.6 states/eV/cell

5.
## BaHg2Br (PBE)

Data for a relaxed BaHg2Br crystal.

abc: 4.8698 4.8701 6.3192
angles: 90.00 90.00 90.01
Last column: nearest neighbours and their distance in Å.
Positions (direct):
Br1 0.5000 0.5000 0.7500  2 Ba 3.16
Ba1 0.5000 0.5000 0.2500  2 Br 3.16
Hg1 0.0000 0.0000 0.9912  2 Hg 3.05-3.27
Hg2 0.0000 0.0000 0.5088  2 Hg 3.05-3.27

## Properties
- Polymorph energy (0 for the lowest one): 135.2 meV/atom
- Formation energy without anion corrections: -294 kJ/mol of formula units
- Space-group type: P4/mmm
- E_tot: -1.8117 eV/atom
- DOS at the Fermi energy: 1.9 states/eV/cell

6.
## Pa2Si2Mo (PBE)

Data for a relaxed Pa2Si2Mo crystal.

abc: 4.3048 6.7495 6.7495
angles: 90.00 90.00 90.00
Last column: nearest neighbours and their distance in Å.
Positions (direct):
Si1 0.0000 0.8728 0.6272  1 Si 2.43, 2 Mo 2.66
Si2 0.0000 0.6272 0.1272  1 Si 2.43, 2 Mo 2.66
Si3 0.0000 0.3728 0.8728  1 Si 2.43, 2 Mo 2.66
Si4 0.0000 0.1272 0.3728  1 Si 2.43, 2 Mo 2.66
Pa1 0.5000 0.1768 0.6768  6 Si 2.85-2.99
Pa2 0.5000 0.3232 0.1768  6 Si 2.85-2.99
Pa3 0.5000 0.6768 0.8232  6 Si 2.85-2.99
Pa4 0.5000 0.8232 0.3232  6 Si 2.85-2.99
Mo1 0.0000 0.5000 0.5000  4 Si 2.66
Mo2 0.0000 0.0000 0.0000  4 Si 2.66

## Properties
- Polymorph energy (0 for the lowest one): 0.0 meV/atom
- Formation energy without anion corrections: -250 kJ/mol of formula units
- Space-group type: P4/mbm
- E_tot: -8.6526 eV/atom
- DOS at the Fermi energy: 9.3 states/eV/cell

- Number 3 is which compound?
  CsPb2Au2

Copy entry 3 word for word.
## CsPb2Au2 (PBE)

Data for a relaxed CsPb2Au2 crystal.

abc: 4.8430 5.5145 7.0593
angles: 104.32 110.06 90.00
Last column: nearest neighbours and their distance in Å.
Positions (direct):
Au1 0.2530 0.8560 0.5061  2 Au 2.91, 4 Pb 2.91-3.00
Au2 0.7470 0.1440 0.4939  2 Au 2.91, 4 Pb 2.91-3.00
Cs1 0.0000 0.0000 0.0000  6 Au 3.65-3.98
Pb1 0.6639 0.5831 0.3278  4 Au 2.91-3.00
Pb2 0.3361 0.4169 0.6722  4 Au 2.91-3.00

## Properties
- Energy of formation from the pure elements: -0.225 eV per atom
- Polymorph energy (0 for the lowest one): 0.0 meV/atom
- Space-group type: C2/m
- E_tot: -3.1896 eV/atom
- DOS at the Fermi energy: 1.9 states/eV/cell

- Which value of DOS at the Fermi energy does entry 1 give?
  6.2 states/eV/cell

- Which formula does entry 3 have?
  CsPb2Au2